(1)
The following is a DFT calculation (PBE) of a relaxed structure of La4MgCd.

Cell: 3.9396 3.9396 12.7913 Å, 90.00 90.00 90.00°
With the nearest neighbours (Å) after each atom.
Space group P4/mmm (No. 123)
Inequivalent atoms, fractional coordinates:
La 0.0000 0.0000 0.1516 [2 per cell]  4 Cd 3.39, 4 La 3.73
La 0.5000 0.5000 0.3451 [2 per cell]  4 Mg 3.42, 4 La 3.73
Mg 0.0000 0.0000 0.5000 [1 per cell]  8 La 3.42
Cd 0.5000 0.5000 0.0000 [1 per cell]  8 La 3.39

Results
The volume comes out at 198.5 Å³/cell. The energy of formation comes out at -133 meV per atom. The calculation puts the offset from the most stable computed form at 0 meV/atom. For the total DFT energy (no corrections), the calculation gives -3.84 eV/atom.

---

(2)
The following is a DFT calculation (PBE) of a relaxed structure of LaMgCd2.

Cell: 10.6895 3.4289 6.0328 Å, 90.00 104.37 90.00°
With the nearest neighbours (Å) after each atom.
Space group Cm (No. 8)
Inequivalent atoms, fractional coordinates:
La 0.0000 0.0000 0.0000 [2 per cell]  7 Cd 3.32-3.52, 2 La 3.43, 3 Mg 3.47-3.54
Mg 0.2257 0.0000 0.6742 [2 per cell]  5 Cd 3.02-3.23
Cd 0.2605 0.5000 0.2609 [2 per cell]  2 Cd 3.05, 2 Mg 3.12, 3 La 3.32
Cd 0.4891 0.0000 0.5043 [2 per cell]  3 Mg 3.02-3.23, 2 Cd 3.05

Results
The volume comes out at 214.2 Å³/cell. The energy of formation comes out at -142 meV per atom. For the total DFT energy (no corrections), the calculation gives -2.23 eV/atom.

---

(3)
The following is a DFT calculation (PBE) of a relaxed structure of La5MgCd.

Cell: 8.6029 8.7128 12.8880 Å, 90.00 104.04 90.00°
With the nearest neighbours (Å) after each atom.
Space group C2/c (No. 15)
Inequivalent atoms, fractional coordinates:
La 0.0000 0.0113 0.2500 [4 per cell]  2 Cd 3.22, 2 La 3.24, 1 Mg 3.40
La 0.1435 0.3646 0.0616 [8 per cell]  4 La 3.36-3.65, 2 Cd 3.43-3.55, 1 Mg 3.72
La 0.2122 0.3013 0.3619 [8 per cell]  1 Cd 3.19, 2 La 3.24-3.48, 2 Mg 3.45-3.52
Mg 0.0000 0.3792 0.7500 [4 per cell]  7 La 3.40-3.72
Cd 0.0000 0.0000 0.0000 [4 per cell]  8 La 3.19-3.55

Results
The volume comes out at 937.2 Å³/cell. The energy of formation comes out at 1 meV per atom. For the total DFT energy (no corrections), the calculation gives -3.88 eV/atom.

---

(4)
The following is a DFT calculation (PBE) of a relaxed structure of La3Mg2Cd9.

Cell: 4.9873 9.8494 14.5650 Å, 90.00 90.00 90.00°
With the nearest neighbours (Å) after each atom.
Space group Immm (No. 71)
Inequivalent atoms, fractional coordinates:
La 0.0000 0.0000 0.0000 [2 per cell]  12 Cd 3.48-3.65
La 0.0000 0.0000 0.2885 [4 per cell]  12 Cd 3.43-3.62, 2 Mg 3.52
Mg 0.0000 0.1737 0.5000 [4 per cell]  8 Cd 2.90-3.25
Cd 0.0000 0.2861 0.1402 [8 per cell]  4 Cd 2.88-3.06
Cd 0.0000 0.3581 0.3446 [8 per cell]  4 Cd 2.80-3.06, 1 Mg 2.90
Cd 0.0000 0.5000 0.0000 [2 per cell]  4 Cd 2.93, 4 Mg 3.02

Results
The volume comes out at 715.5 Å³/cell. The energy of formation comes out at -305 meV per atom. For the total DFT energy (no corrections), the calculation gives -2.18 eV/atom.

---

(5)
The following is a DFT calculation (PBE) of a relaxed structure of LaMgCd.

Cell: 3.3364 5.0103 9.8584 Å, 90.00 90.00 90.00°
With the nearest neighbours (Å) after each atom.
Space group Imm2 (No. 44)
Inequivalent atoms, fractional coordinates:
La 0.0000 0.0000 0.0000 [2 per cell]  5 Mg 3.26-3.44, 5 Cd 3.29-3.43, 2 La 3.34
Mg 0.0000 0.0000 0.6690 [2 per cell]  5 La 3.26-3.44, 5 Cd 3.30-3.42, 2 Mg 3.34
Cd 0.0000 0.0000 0.3342 [2 per cell]  5 La 3.29-3.43, 5 Mg 3.30-3.42, 2 Cd 3.34

Results
The volume comes out at 164.8 Å³/cell. The energy of formation comes out at -120 meV per atom. For the total DFT energy (no corrections), the calculation gives -2.60 eV/atom.

---

(6)
The following is a DFT calculation (PBE) of a relaxed structure of La2Mg17Cd3.

Cell: 11.1755 11.1755 15.9088 Å, 90.00 90.00 120.00°
With the nearest neighbours (Å) after each atom.
Space group R-3m (No. 166, hexagonal axes)
Inequivalent atoms, fractional coordinates:
La 0.0000 0.0000 0.1451 [6 per cell]  3 Cd 3.24
Mg 0.0000 0.0000 0.3917 [6 per cell]  13 Mg 3.35-3.51
Mg 0.0000 0.2572 0.5000 [18 per cell]  1 Cd 2.71, 2 Mg 2.87
Mg 0.0000 0.5000 0.0000 [9 per cell]  10 Mg 3.10-3.36
Mg 0.0202 0.5101 0.6755 [18 per cell]  1 Cd 2.80, 4 Mg 3.04
Cd 0.0000 0.5000 0.5000 [9 per cell]  4 Mg 2.71-2.80

Results
The volume comes out at 1720.7 Å³/cell. The energy of formation comes out at 64 meV per atom. For the total DFT energy (no corrections), the calculation gives -1.74 eV/atom.

---

(7)
The following is a DFT calculation (PBE) of a relaxed structure of La3Mg7Cd2.

Cell: 6.1226 6.1226 29.6991 Å, 90.00 90.00 120.00°
With the nearest neighbours (Å) after each atom.
Space group R-3m (No. 166, hexagonal axes)
Inequivalent atoms, fractional coordinates:
La 0.0000 0.0000 0.0000 [3 per cell]  6 Cd 3.53, 12 Mg 3.90
La 0.0000 0.0000 0.1459 [6 per cell]  12 Mg 3.59-3.62, 3 La 3.74
Mg 0.0000 0.0000 0.5000 [3 per cell]  6 Mg 3.10
Mg 0.0025 0.5012 0.9189 [18 per cell]  2 Cd 2.97-3.00, 5 Mg 3.04-3.10
Cd 0.0000 0.0000 0.3343 [6 per cell]  6 Mg 2.97-3.00

Results
The volume comes out at 964.1 Å³/cell. The energy of formation comes out at -163 meV per atom. For the total DFT energy (no corrections), the calculation gives -2.48 eV/atom.

---

(8)
The following is a DFT calculation (PBE) of a relaxed structure of LaMgCd.

Cell: 3.5800 3.5800 7.8059 Å, 90.00 90.00 120.00°
With the nearest neighbours (Å) after each atom.
Space group P3m1 (No. 156)
Inequivalent atoms, fractional coordinates:
La 0.0000 0.0000 0.0000 [1 per cell]  3 Cd 3.41, 3 Mg 3.53, 6 La 3.58
Mg 0.6667 0.3333 0.3659 [1 per cell]  3 Cd 3.05
Cd 0.3333 0.6667 0.6527 [1 per cell]  3 Mg 3.05, 3 La 3.41

Results
The volume comes out at 86.6 Å³/cell. The energy of formation comes out at -19 meV per atom. For the total DFT energy (no corrections), the calculation gives -2.50 eV/atom.